1.
Material: TaPbCl2
Method: DFT, GGA-PBE
State: relaxed

abc: 4.0487 4.0487 11.5384
angles: 90.00 90.00 90.00
Space group I-4m2 (No. 119)
Symmetry-distinct sites (fractional):
Ta: 0.0000 0.0000 0.0000 x2
Pb: 0.0000 0.5000 0.2500 x2
Cl: 0.0000 0.0000 0.5000 x2
Cl: 0.0000 0.5000 0.7500 x2

Computed properties:
DOS at the Fermi energy in states/eV/f.u.: 4.14
M_tot in Bohr magnetons per cell: 5.26
E above lowest polymorph in meV/atom: 1001
Calculated volume in Å³/atom: 23.6
E_form (uncorrected) in meV/atom: 513

***

2.
Material: AgSbMo
Method: DFT, GGA-PBE
State: relaxed

abc: 3.7165 4.6130 14.6927
angles: 90.00 90.00 90.00
Space group Fmm2 (No. 42)
Symmetry-distinct sites (fractional):
Ag: 0.0000 0.0000 0.0000 x4
Sb: 0.0000 0.0000 0.2864 x4
Mo: 0.0000 0.0000 0.6442 x4

Computed properties:
DOS at the Fermi energy in states/eV/f.u.: 1.70
M_tot in Bohr magnetons per cell: 0.00
E above lowest polymorph in meV/atom: 63
Calculated volume in Å³/atom: 21.0
E_form (uncorrected) in meV/atom: 541

***

3.
Material: Pr4Nd5Ag
Method: DFT, GGA-PBE
State: relaxed

abc: 3.7075 3.7075 24.7269
angles: 90.00 90.00 90.00
Space group P4/mmm (No. 123)
Symmetry-distinct sites (fractional):
Pr: 0.0000 0.0000 0.1057 x2
Pr: 0.0000 0.0000 0.3164 x2
Nd: 0.5000 0.5000 0.0000 x1
Nd: 0.5000 0.5000 0.2118 x2
Nd: 0.5000 0.5000 0.4220 x2
Ag: 0.0000 0.0000 0.5000 x1

Computed properties:
DOS at the Fermi energy in states/eV/f.u.: 14.07
M_tot in Bohr magnetons per cell: 0.00
Calculated volume in Å³/atom: 34.0
ΔE_f in meV/atom: -38

***

4.
Material: KNa2CrH6
Method: DFT, GGA-PBE
State: relaxed

abc: 5.4866 5.8722 9.5773
angles: 90.00 124.56 90.00
Space group P2_1/c (No. 14)
Symmetry-distinct sites (fractional):
K: 0.0000 0.0000 0.0000 x2
Na: 0.2223 0.0167 0.7244 x4
Cr: 0.5000 0.0000 0.5000 x2
H: 0.2166 0.1448 0.4863 x4
H: 0.2399 0.7057 0.8691 x4
H: 0.4456 0.1422 0.3253 x4

Computed properties:
DOS at the Fermi energy in states/eV/f.u.: 0.00
M_tot in Bohr magnetons per cell: 6.00
Calculated volume in Å³/atom: 12.7

***

5.
Material: ThP2PdRh2
Method: DFT, GGA-PBE
State: relaxed

abc: 4.1724 4.1724 6.6671
angles: 90.00 90.00 120.00
Space group P-3m1 (No. 164)
Symmetry-distinct sites (fractional):
Th: 0.0000 0.0000 0.0000 x1
P: 0.3333 0.6667 0.2781 x2
Pd: 0.0000 0.0000 0.5000 x1
Rh: 0.3333 0.6667 0.6825 x2

Computed properties:
DOS at the Fermi energy in states/eV/f.u.: 2.50
M_tot in Bohr magnetons per cell: 0.00
Calculated volume in Å³/atom: 16.8
ΔE_f in meV/atom: -897

***

6.
Material: LiV4S8
Method: DFT, GGA-PBE
State: relaxed

abc: 11.0898 6.4049 8.4981
angles: 90.00 130.34 90.00
Space group C2/m (No. 12)
Symmetry-distinct sites (fractional):
Li: 0.0000 0.0000 0.0000 x2
V: 0.0000 0.2555 0.5000 x4
V: 0.2472 0.5000 0.4983 x4
S: 0.0282 0.0000 0.7234 x4
S: 0.0301 0.5000 0.7286 x4
S: 0.2212 0.2510 0.2732 x8

Computed properties:
DOS at the Fermi energy in states/eV/f.u.: 9.00
M_tot in Bohr magnetons per cell: 0.00
E above lowest polymorph in meV/atom: 0
Calculated volume in Å³/atom: 17.7
E_form (uncorrected) in meV/atom: -945

***

Total DFT energy (no corrections)? In order: -4.301 -5.394 -4.619 -3.494 -7.253 -6.438 eV/atom.